Material: PmHo9Tm2
Method: DFT, PBE
State: optimized geometry

```
data_PmHo9Tm2
_chemical_formula_sum 'Pm1 Ho9 Tm2'
_cell_length_a 11.1496
_cell_length_b 11.1496
_cell_length_c 3.4889
_cell_angle_alpha 90.00
_cell_angle_beta 90.00
_cell_angle_gamma 120.00
_symmetry_space_group_name_H-M 'P 6/m m m'
_symmetry_Int_Tables_number 191
_symmetry_space_group_name_Hall '-P 6 2'
loop_
_atom_site_label
_atom_site_fract_x
_atom_site_fract_y
_atom_site_fract_z
_atom_site_occupancy
Pm1 0.0000 0.0000 0.0000 1
Ho1 0.0000 0.5000 0.0000 1
Ho2 0.1785 0.3569 0.5000 1
Tm1 0.3333 0.6667 0.0000 1
```

## Properties
Electronic total energy, eV/atom: -4.535
Formation energy, meV per atom: 40
DOS at the Fermi energy, states/eV/f.u.: 16.0
Size of the total moment, μB/atom: 0.000

Material: Zr2PaMn9
Method: DFT, PBE
State: optimized geometry

```
data_Zr2PaMn9
_chemical_formula_sum 'Zr4 Pa2 Mn18'
_cell_length_a 4.8567
_cell_length_b 4.8567
_cell_length_c 16.5740
_cell_angle_alpha 90.00
_cell_angle_beta 90.00
_cell_angle_gamma 120.00
_symmetry_space_group_name_H-M 'P 63/m m c'
_symmetry_Int_Tables_number 194
_symmetry_space_group_name_Hall '-P 6c 2c'
loop_
_atom_site_label
_atom_site_fract_x
_atom_site_fract_y
_atom_site_fract_z
_atom_site_occupancy
Zr1 0.3333 0.6667 0.0375 1
Pa1 0.3333 0.6667 0.2500 1
Mn1 0.0000 0.0000 0.0000 1
Mn2 0.0000 0.0000 0.2500 1
Mn3 0.1692 0.3383 0.6243 1
Mn4 0.3333 0.6667 0.7500 1
```

## Properties
Electronic total energy, eV/atom: -9.166
Formation energy, meV per atom: -73
DOS at the Fermi energy, states/eV/f.u.: 16.6
Size of the total moment, μB/atom: 0.466

Material: Ca2AlSi
Method: DFT, PBE
State: optimized geometry

```
data_Ca2AlSi
_chemical_formula_sum 'Ca4 Al2 Si2'
_cell_length_a 6.031
_cell_length_b 4.126
_cell_length_c 8.784
_cell_angle_alpha 90.00
_cell_angle_beta 107.17
_cell_angle_gamma 90.00
_symmetry_space_group_name_H-M 'P 1 21/m 1'
_symmetry_Int_Tables_number 11
loop_
_symmetry_equiv_pos_as_xyz
'x,y,z'
'-x,-y,-z'
'-x,y+1/2,-z'
'x,-y+1/2,z'
loop_
_atom_site_label
_atom_site_fract_x
_atom_site_fract_y
_atom_site_fract_z
_atom_site_occupancy
Ca1 0.201 0.250 0.423 1
Ca2 0.279 0.750 0.065 1
Al1 0.354 0.750 0.718 1
Si1 0.155 0.250 0.784 1
```

## Properties
Electronic total energy, eV/atom: -3.694
Formation energy from raw total energies, eV per formula unit: -1.61
DOS at the Fermi energy, states/eV/f.u.: 2.2
Size of the total moment, μB/atom: 0.000

Material: TcAgHg2
Method: DFT, PBE
State: optimized geometry

```
data_TcAgHg2
_chemical_formula_sum 'Tc2 Ag2 Hg4'
_cell_length_a 4.499
_cell_length_b 4.499
_cell_length_c 7.505
_cell_angle_alpha 90.00
_cell_angle_beta 90.00
_cell_angle_gamma 90.00
_symmetry_space_group_name_H-M 'I 4/m m m'
_symmetry_Int_Tables_number 139
_symmetry_space_group_name_Hall '-I 4 2'
loop_
_atom_site_label
_atom_site_fract_x
_atom_site_fract_y
_atom_site_fract_z
_atom_site_occupancy
Tc1 0.000 0.000 0.000 1
Ag1 0.000 0.000 0.500 1
Hg1 0.000 0.500 0.250 1
```

## Properties
Electronic total energy, eV/atom: -2.874
Formation energy, meV per atom: 582
DOS at the Fermi energy, states/eV/f.u.: 3.2
Size of the total moment, μB/atom: 0.499

Material: Hf4Ga3Tc
Method: DFT, PBE
State: optimized geometry

```
data_Hf4Ga3Tc
_chemical_formula_sum 'Hf4 Ga3 Tc1'
_cell_length_a 3.371
_cell_length_b 4.252
_cell_length_c 10.441
_cell_angle_alpha 90.00
_cell_angle_beta 90.00
_cell_angle_gamma 90.00
_symmetry_space_group_name_H-M 'P m m 2'
_symmetry_Int_Tables_number 25
loop_
_symmetry_equiv_pos_as_xyz
'x,y,z'
'-x,-y,z'
'-x,y,z'
'x,-y,z'
loop_
_atom_site_label
_atom_site_fract_x
_atom_site_fract_y
_atom_site_fract_z
_atom_site_occupancy
Hf1 0.000 0.000 0.000 1
Hf2 0.000 0.500 0.286 1
Hf3 0.500 0.000 0.478 1
Hf4 0.500 0.500 0.801 1
Ga1 0.000 0.000 0.723 1
Ga2 0.000 0.500 0.565 1
Ga3 0.500 0.500 0.065 1
Tc1 0.500 0.000 0.226 1
```

## Properties
Electronic total energy, eV/atom: -7.845
Formation energy, meV per atom: -438
DOS at the Fermi energy, states/eV/f.u.: 5.2
Size of the total moment, μB/atom: 0.000

Material: BaLa2Co
Method: DFT, PBE
State: optimized geometry

```
data_BaLa2Co
_chemical_formula_sum 'Ba2 La4 Co2'
_cell_length_a 4.540
_cell_length_b 4.540
_cell_length_c 11.475
_cell_angle_alpha 90.00
_cell_angle_beta 90.00
_cell_angle_gamma 90.00
_symmetry_space_group_name_H-M 'I -4 m 2'
_symmetry_Int_Tables_number 119
_symmetry_space_group_name_Hall 'I -4 -2'
loop_
_atom_site_label
_atom_site_fract_x
_atom_site_fract_y
_atom_site_fract_z
_atom_site_occupancy
Ba1 0.000 0.000 0.000 1
La1 0.000 0.000 0.500 1
La2 0.000 0.500 0.250 1
Co1 0.000 0.500 0.750 1
```

## Properties
Electronic total energy, eV/atom: -4.189
Formation energy, meV per atom: 532
DOS at the Fermi energy, states/eV/f.u.: 4.6
Size of the total moment, μB/atom: 0.002

Material: YTmHgPd
Method: DFT, PBE
State: optimized geometry

```
data_YTmHgPd
_chemical_formula_sum 'Y1 Tm1 Hg1 Pd1'
_cell_length_a 3.555
_cell_length_b 3.555
_cell_length_c 7.366
_cell_angle_alpha 90.00
_cell_angle_beta 90.00
_cell_angle_gamma 90.00
_symmetry_space_group_name_H-M 'P 4 m m'
_symmetry_Int_Tables_number 99
loop_
_symmetry_equiv_pos_as_xyz
'x,y,z'
'-y,x,z'
'-x,-y,z'
'y,-x,z'
'-x,y,z'
'y,x,z'
'x,-y,z'
'-y,-x,z'
loop_
_atom_site_label
_atom_site_fract_x
_atom_site_fract_y
_atom_site_fract_z
_atom_site_occupancy
Y1 0.000 0.000 0.000 1
Tm1 0.000 0.000 0.542 1
Hg1 0.500 0.500 0.277 1
Pd1 0.500 0.500 0.758 1
```

## Properties
Electronic total energy, eV/atom: -4.809
Formation energy, meV per atom: -701
DOS at the Fermi energy, states/eV/f.u.: 2.8
Size of the total moment, μB/atom: 0.000

Material: AlInBi
Method: DFT, PBE
State: optimized geometry

```
data_AlInBi
_chemical_formula_sum 'Al2 In2 Bi2'
_cell_length_a 3.531
_cell_length_b 3.531
_cell_length_c 12.578
_cell_angle_alpha 90.00
_cell_angle_beta 90.00
_cell_angle_gamma 90.00
_symmetry_space_group_name_H-M 'I 4 m m'
_symmetry_Int_Tables_number 107
_symmetry_space_group_name_Hall 'I 4 -2'
loop_
_atom_site_label
_atom_site_fract_x
_atom_site_fract_y
_atom_site_fract_z
_atom_site_occupancy
Al1 0.000 0.000 0.000 1
In1 0.000 0.000 0.644 1
Bi1 0.000 0.000 0.347 1
```

## Properties
Electronic total energy, eV/atom: -3.287
Formation energy, meV per atom: 167
DOS at the Fermi energy, states/eV/f.u.: 1.6
Size of the total moment, μB/atom: 0.000

Material: Ba4NaZn
Method: DFT, PBE
State: optimized geometry

```
data_Ba4NaZn
_chemical_formula_sum 'Ba8 Na2 Zn2'
_cell_length_a 8.696
_cell_length_b 8.661
_cell_length_c 8.882
_cell_angle_alpha 90.00
_cell_angle_beta 97.89
_cell_angle_gamma 90.00
_symmetry_space_group_name_H-M 'P 1 21/c 1'
_symmetry_Int_Tables_number 14
loop_
_symmetry_equiv_pos_as_xyz
'x,y,z'
'-x,-y,-z'
'-x,y+1/2,-z+1/2'
'x,-y+1/2,z+1/2'
loop_
_atom_site_label
_atom_site_fract_x
_atom_site_fract_y
_atom_site_fract_z
_atom_site_occupancy
Ba1 0.135 0.168 0.192 1
Ba2 0.334 0.644 0.118 1
Na1 0.500 0.000 0.000 1
Zn1 0.000 0.000 0.500 1
```

## Properties
Electronic total energy, eV/atom: -1.662
Formation energy, meV per atom: 52
DOS at the Fermi energy, states/eV/f.u.: 8.5
Size of the total moment, μB/atom: 0.000

Material: La2Zn5Pt5
Method: DFT, PBE
State: optimized geometry

```
data_La2Zn5Pt5
_chemical_formula_sum 'La2 Zn5 Pt5'
_cell_length_a 4.330
_cell_length_b 5.390
_cell_length_c 9.554
_cell_angle_alpha 90.00
_cell_angle_beta 90.00
_cell_angle_gamma 90.00
_symmetry_space_group_name_H-M 'P m m m'
_symmetry_Int_Tables_number 47
loop_
_symmetry_equiv_pos_as_xyz
'x,y,z'
'-x,-y,-z'
'-x,-y,z'
'x,y,-z'
'x,-y,-z'
'-x,y,z'
'-x,y,-z'
'x,-y,z'
loop_
_atom_site_label
_atom_site_fract_x
_atom_site_fract_y
_atom_site_fract_z
_atom_site_occupancy
La1 0.000 0.000 0.000 1
La2 0.000 0.500 0.500 1
Zn1 0.500 0.000 0.500 1
Zn2 0.500 0.251 0.249 1
Pt1 0.000 0.000 0.333 1
Pt2 0.000 0.500 0.179 1
Pt3 0.500 0.500 0.000 1
```

## Properties
Electronic total energy, eV/atom: -4.635
Formation energy, meV per atom: -765
DOS at the Fermi energy, states/eV/f.u.: 5.2
Size of the total moment, μB/atom: 0.000

> The highest electronic total energy belongs to which entry?

Ba4NaZn